1.
The following is a PBE calculation of a geometry-optimized Na2Tl3I3Br2 structure, from Alexandria.

Values from the calculation:
raw formation energy: -966 meV per atom
symmetry: No. 139

Cell: 5.108 5.108 16.597 Å, 98.85 98.85 90.00°
Sites, in units of the cell vectors:
Br: 0.787 0.787 0.574
I: 0.390 0.390 0.779
I: 0.000 0.000 0.000
Tl: 0.106 0.106 0.212
Na: 0.250 0.750 0.500
I: 0.610 0.610 0.221
Na: 0.750 0.250 0.500
Br: 0.213 0.213 0.426
Tl: 0.894 0.894 0.788
Tl: 0.500 0.500 0.000

***

2.
The following is a PBE calculation of a geometry-optimized Be2SiBr structure, from Alexandria.

Values from the calculation:
raw formation energy: 581 meV per atom
symmetry: No. 65

Cell: 3.142 3.142 6.834 Å, 90.00 90.00 111.77°
Sites, in units of the cell vectors:
Br: 0.500 0.500 0.250
Be: 0.000 0.000 0.967
Be: 0.000 0.000 0.533
Si: 0.500 0.500 0.750

***

3.
The following is a PBE calculation of a geometry-optimized La2ErSc structure, from Alexandria.

Values from the calculation:
E_form: 0.04 eV per atom
symmetry: No. 2

Cell: 3.672 6.067 12.518 Å, 110.92 98.44 89.99°
Sites, in units of the cell vectors:
Sc: 0.694 0.839 0.389
La: 0.931 0.227 0.863
Er: 0.560 0.266 0.118
Er: 0.440 0.734 0.882
La: 0.187 0.334 0.374
La: 0.813 0.665 0.626
Sc: 0.306 0.161 0.611
La: 0.069 0.773 0.137

***

4.
The following is a PBE calculation of a geometry-optimized FeCuPd2Ru structure, from Alexandria.

Values from the calculation:
E_form: 1.21 eV per atom
symmetry: No. 123

Cell: 4.524 4.318 4.524 Å, 90.00 90.00 90.00°
Site moments in Bohr magnetons follow the coordinates.
Sites, in units of the cell vectors:
Pd: 0.000 0.000 0.500  0.21
Fe: 0.000 0.500 0.000  3.17
Cu: 0.000 0.000 0.000  0.20
Ru: 0.500 0.500 0.500  2.27
Pd: 0.500 0.000 0.000  0.29

***

5.
The following is a PBE calculation of a geometry-optimized HoTmThCd structure, from Alexandria.

Values from the calculation:
E_form: 0.04 eV per atom
symmetry: No. 216

Cell: 5.456 5.456 5.456 Å, 60.00 60.00 60.00°
Site moments in Bohr magnetons follow the coordinates.
Sites, in units of the cell vectors:
Cd: 0.750 0.750 0.750  0.00
Th: 0.000 0.000 0.000  0.08
Ho: 0.500 0.500 0.500  0.08
Tm: 0.250 0.250 0.250  0.11

***

6.
The following is a PBE calculation of a geometry-optimized NaDySb2 structure, from Alexandria.

Values from the calculation:
raw formation energy: -593 meV per atom
symmetry: No. 123

Cell: 4.035 4.035 6.912 Å, 90.00 90.00 90.00°
Sites, in units of the cell vectors:
Sb: 0.000 0.000 0.775
Dy: 0.500 0.500 0.000
Na: 0.500 0.500 0.500
Sb: 0.000 0.000 0.225